Arrangement A

DFT (PBE) results for a relaxed Na2Dy crystal.

Cell lengths 5.442, 5.442, 5.442 Å; angles 60.00, 60.00, 60.00 degrees
Element x y z (fractional)
1 Na 0.750 0.750 0.750
2 Na 0.250 0.250 0.250
3 Dy 0.000 0.000 0.000

- Calculated volume: 114 Å³/cell
- Space-group type: Fm-3m
- Magnetic moment: 0.0090 μB/atom


Arrangement B

DFT (PBE) results for a relaxed Na2Dy crystal.

Cell lengths 6.326, 6.326, 6.326 Å; angles 60.00, 60.00, 60.00 degrees
Element x y z (fractional)
1 Dy 0.000 0.000 0.000
2 Dy 0.250 0.250 0.250
3 Na 0.625 0.625 0.125
4 Na 0.625 0.625 0.625
5 Na 0.125 0.625 0.625
6 Na 0.625 0.125 0.625

- Calculated volume: 179 Å³/cell
- Space-group type: Fd-3m
- Magnetic moment: 0.0137 μB/atom


Most stable = arrangement B


Arrangement A

DFT (PBE) results for a relaxed NaDyNi crystal.

Cell lengths 4.703, 4.703, 4.703 Å; angles 60.00, 60.00, 60.00 degrees
Element x y z (fractional)
1 Dy 0.000 0.000 0.000
2 Ni 0.750 0.750 0.750
3 Na 0.250 0.250 0.250

- Calculated volume: 74 Å³/cell
- Space-group type: F-43m
- Magnetic moment: 0.0003 μB/atom


Arrangement B

DFT (PBE) results for a relaxed NaDyNi crystal.

Cell lengths 4.594, 4.594, 4.594 Å; angles 60.00, 60.00, 60.00 degrees
Element x y z (fractional)
1 Dy 0.250 0.250 0.250
2 Ni 0.750 0.750 0.750
3 Na 0.000 0.000 0.000

- Calculated volume: 69 Å³/cell
- Space-group type: F-43m
- Magnetic moment: 0.0000 μB/atom


Most stable = arrangement A


Arrangement A

DFT (PBE) results for a relaxed NaDyNiTe3 crystal.

Cell lengths 12.178, 4.237, 12.263 Å; angles 90.00, 90.00, 90.00 degrees
Element x y z (fractional)
1 Dy 0.545 0.500 0.802
2 Dy 0.045 0.500 0.698
3 Dy 0.455 0.000 0.198
4 Dy 0.955 0.000 0.302
5 Te 0.444 0.500 0.377
6 Te 0.944 0.500 0.123
7 Te 0.556 0.000 0.623
8 Te 0.802 0.500 0.805
9 Te 0.598 0.500 0.075
10 Te 0.056 0.000 0.877
11 Te 0.698 0.000 0.305
12 Te 0.098 0.500 0.425
13 Te 0.902 0.000 0.575
14 Te 0.198 0.000 0.195
15 Te 0.302 0.500 0.695
16 Te 0.402 0.000 0.925
17 Ni 0.738 0.000 0.716
18 Ni 0.262 0.500 0.284
19 Ni 0.762 0.500 0.216
20 Ni 0.238 0.000 0.784
21 Na 0.713 0.500 0.508
22 Na 0.287 0.000 0.492
23 Na 0.787 0.000 0.008
24 Na 0.213 0.500 0.992

- Calculated volume: 633 Å³/cell
- Space-group type: Pnma
- Magnetic moment: 0.0009 μB/atom


Arrangement B

DFT (PBE) results for a relaxed NaDyNiTe3 crystal.

Cell lengths 8.070, 8.070, 10.638 Å; angles 90.00, 90.00, 29.58 degrees
Element x y z (fractional)
1 Te 0.632 0.632 0.587
2 Te 0.910 0.910 0.750
3 Te 0.368 0.368 0.413
4 Te 0.090 0.090 0.250
5 Te 0.368 0.368 0.087
6 Te 0.632 0.632 0.913
7 Ni 0.512 0.512 0.750
8 Ni 0.488 0.488 0.250
9 Na 0.751 0.751 0.250
10 Na 0.249 0.249 0.750
11 Dy 0.000 0.000 0.000
12 Dy 0.000 0.000 0.500

- Calculated volume: 342 Å³/cell
- Space-group type: Cmcm
- Magnetic moment: 0.0006 μB/atom


Arrangement C

DFT (PBE) results for a relaxed NaDyNiTe3 crystal.

Cell lengths 8.853, 4.207, 9.934 Å; angles 90.00, 106.16, 90.00 degrees
Element x y z (fractional)
1 Te 0.563 0.250 0.828
2 Te 0.803 0.250 0.477
3 Te 0.071 0.250 0.855
4 Te 0.929 0.750 0.145
5 Te 0.197 0.750 0.523
6 Te 0.437 0.750 0.172
7 Ni 0.905 0.750 0.396
8 Ni 0.095 0.250 0.604
9 Na 0.789 0.750 0.742
10 Na 0.211 0.250 0.258
11 Dy 0.681 0.250 0.148
12 Dy 0.319 0.750 0.852

- Calculated volume: 355 Å³/cell
- Space-group type: P2_1/m
- Magnetic moment: 0.0014 μB/atom


Most stable = arrangement C